(1)
Computed, not measured: BeSe4Br at its PBEsol-relaxed geometry at the meta-GGA SCAN level of DFT.

SG   No. 216
V   20.65 Å³ per atom
Final energy   -16.49 eV per atom
ΔE_f (raw)   0.861 eV/atom
N(E_F)   2.63 states/eV per cell

Cell: 5.596 5.596 5.596 Å, 60.00 60.00 60.00°
Fractional coordinates of all 6 atoms:
Se: 0.376 0.376 0.871
Be: 0.750 0.750 0.750
Br: 0.000 0.000 0.000
Se: 0.871 0.376 0.376
Se: 0.376 0.376 0.376
Se: 0.376 0.871 0.376

(2)
Computed, not measured: BeTcSeBr2 at its PBEsol-relaxed geometry at the meta-GGA SCAN level of DFT.

SG   No. 123
V   20.86 Å³ per atom
Final energy   -19.31 eV per atom
ΔE_f (raw)   0.371 eV/atom
N(E_F)   0.50 states/eV per cell

Cell: 4.524 4.524 5.095 Å, 90.00 90.00 90.00°
Site moments in Bohr magnetons follow the coordinates.
Fractional coordinates of all 5 atoms:
Be: 0.000 0.000 0.000  0.01
Tc: 0.500 0.500 0.500  4.30
Br: 0.500 0.000 0.000  0.08
Se: 0.000 0.000 0.500  0.05
Br: 0.000 0.500 0.000  0.08